# 1
The following is a DFT calculation (PBE) of a relaxed structure of CdInRh2.

- offset from the most stable computed form (kcal/mol of atoms) = 5.17
- E_form (kJ per mole of atoms) = -8.1
- crystal system = tetragonal

Lattice parameters (Å, degrees): 5.098 5.098 5.098 133.59 133.59 67.73
Element x y z (fractional)
Rh1 0.000 0.000 0.000
Rh2 0.250 0.750 0.500
Cd1 0.500 0.500 0.000
In1 0.750 0.250 0.500


# 2
The following is a DFT calculation (PBE) of a relaxed structure of CdInRh2.

- offset from the most stable computed form (kcal/mol of atoms) = 0.08
- E_form (kJ per mole of atoms) = -29.3
- crystal system = tetragonal

Lattice parameters (Å, degrees): 3.220 3.227 7.250 63.52 90.00 90.00
Element x y z (fractional)
Rh1 0.000 0.008 0.992
Rh2 0.000 0.492 0.508
Cd1 0.500 0.250 0.250
In1 0.500 0.750 0.750


# 3
The following is a DFT calculation (PBE) of a relaxed structure of CdInRh2.

- offset from the most stable computed form (kcal/mol of atoms) = 7.13
- E_form (kJ per mole of atoms) = 0.2
- crystal system = cubic

Lattice parameters (Å, degrees): 4.597 4.597 4.597 60.00 60.00 60.00
Element x y z (fractional)
Cd1 0.500 0.500 0.500
In1 0.250 0.250 0.250
Rh1 0.750 0.750 0.750
Rh2 0.000 0.000 0.000


# 4
The following is a DFT calculation (PBE) of a relaxed structure of CdInRh2.

- offset from the most stable computed form (kcal/mol of atoms) = 0.00
- E_form (kJ per mole of atoms) = -29.7
- crystal system = cubic

Lattice parameters (Å, degrees): 4.565 4.565 4.565 60.00 60.00 60.00
Element x y z (fractional)
Rh1 0.250 0.250 0.250
Rh2 0.750 0.750 0.750
Cd1 0.000 0.000 0.000
In1 0.500 0.500 0.500